Computed, not measured: a relaxed Tl6Hg3Au2 crystal at the PBE level of DFT.

Cell and atoms, written as extended XYZ:
```
11
Lattice="4.629 -7.948 0.000 4.629 7.948 0.000 -2.804 0.000 4.310" Properties=species:S:1:pos:R:3 pbc="T T T"
Tl 0.152 2.707 3.201
Tl 1.541 0.000 1.012
Tl 0.152 -2.707 3.201
Tl 6.302 2.707 1.109
Tl 4.913 0.000 3.298
Tl 6.302 -2.707 1.109
Hg -1.402 0.000 2.155
Hg 3.227 2.491 2.155
Hg 3.227 -2.491 2.155
Au 4.629 5.192 0.000
Au 4.629 -5.192 0.000
```

formation enthalpy at 0 K = 0.68 kJ per mole of atoms
symmetry = No. 12
magnetization = 0.0 μB/f.u.